# 1
Entry from the Alexandria database: crystalline ScIn2Pd at its relaxed geometry (GGA-PBE).

Values from the calculation:
E_tot ... -4.54 eV/atom
N(E_F) ... 8.9 states/eV/cell
Calculated volume ... 90 Å³/f.u.
Total magnetization ... 0.00 μB per formula unit

a b c (Å): 6.287 6.287 6.287
angles (deg): 102.32 102.32 124.99
Sites, in units of the cell vectors:
Sc: 0.000 0.000 0.000
Sc: 0.750 0.250 0.500
In: 0.162 0.625 0.037
In: 0.375 0.412 0.537
In: 0.588 0.125 0.963
In: 0.875 0.838 0.463
Pd: 0.250 0.750 0.500
Pd: 0.500 0.500 0.000

# 2
Entry from the Alexandria database: crystalline CdHg2Au at its relaxed geometry (GGA-PBE).

Values from the calculation:
Energy above the most stable polymorph in this dataset ... 0 meV/atom
N(E_F) ... 1.0 states/eV/cell
Calculated volume ... 96 Å³/f.u.
Total magnetization ... 0.00 μB per formula unit

a b c (Å): 7.154 7.154 7.154
angles (deg): 156.05 139.53 47.57
Sites, in units of the cell vectors:
Cd: 0.000 0.000 0.000
Hg: 0.297 0.797 0.500
Hg: 0.703 0.203 0.500
Au: 0.500 0.500 0.000

# 3
Entry from the Alexandria database: crystalline Ca2ReMo at its relaxed geometry (GGA-PBE).

Values from the calculation:
Energy above the most stable polymorph in this dataset ... 1111 meV/atom
N(E_F) ... 9.1 states/eV/cell
Calculated volume ... 89 Å³/f.u.
Total magnetization ... 0.00 μB per formula unit

a b c (Å): 6.371 6.371 6.371
angles (deg): 100.09 100.09 130.52
Sites, in units of the cell vectors:
Ca: 0.112 0.625 0.987
Ca: 0.375 0.362 0.487
Ca: 0.638 0.125 0.013
Ca: 0.875 0.888 0.513
Re: 0.000 0.000 0.000
Re: 0.750 0.250 0.500
Mo: 0.250 0.750 0.500
Mo: 0.500 0.500 0.000

# 4
Entry from the Alexandria database: crystalline Sr3LaTa at its relaxed geometry (GGA-PBE).

Values from the calculation:
Energy above the most stable polymorph in this dataset ... 0 meV/atom
N(E_F) ... 8.4 states/eV/cell
Calculated volume ... 213 Å³/f.u.
Total magnetization ... 0.07 μB per formula unit

a b c (Å): 5.972 5.972 5.972
angles (deg): 90.00 90.00 90.00
Sites, in units of the cell vectors:
Sr: 0.000 0.000 0.500
Sr: 0.000 0.500 0.000
Sr: 0.500 0.000 0.000
La: 0.500 0.500 0.500
Ta: 0.000 0.000 0.000

# 5
Entry from the Alexandria database: crystalline FeBrN2 at its relaxed geometry (GGA-PBE).

Values from the calculation:
Energy above the most stable polymorph in this dataset ... 1499 meV/atom
N(E_F) ... 2.6 states/eV/cell
Calculated volume ... 41 Å³/f.u.
Total magnetization ... 0.00 μB per formula unit

a b c (Å): 3.862 3.862 3.862
angles (deg): 60.00 60.00 60.00
Sites, in units of the cell vectors:
Fe: 0.000 0.000 0.000
Br: 0.500 0.500 0.500
N: 0.250 0.250 0.250
N: 0.750 0.750 0.750

# 6
Entry from the Alexandria database: crystalline BaSi2Te at its relaxed geometry (GGA-PBE).

Values from the calculation:
E_tot ... -3.89 eV/atom
N(E_F) ... 1.8 states/eV/cell
Calculated volume ... 106 Å³/f.u.
Total magnetization ... 0.00 μB per formula unit

a b c (Å): 4.763 4.763 4.670
angles (deg): 90.00 90.00 90.00
Sites, in units of the cell vectors:
Ba: 0.000 0.000 0.000
Si: 0.000 0.500 0.500
Si: 0.500 0.000 0.500
Te: 0.500 0.500 0.000